# 1
Sm2Au | GGA-PBE | optimized geometry

Energy of formation, eV per atom: 0.277
E_tot, eV per cell: -23.72

Cell lengths 6.1341, 6.1341, 6.1341 Å; angles 60.00, 60.00, 60.00 degrees
Sites, in units of the cell vectors:
Au 0.2500 0.2500 0.2500
Au 0.0000 0.0000 0.0000
Sm 0.6250 0.1250 0.6250
Sm 0.1250 0.6250 0.6250
Sm 0.6250 0.6250 0.1250
Sm 0.6250 0.6250 0.6250

# 2
Sm3Au2 | GGA-PBE | optimized geometry

Energy of formation, eV per atom: -0.646
E_tot, eV per cell: -71.69

Cell lengths 7.8011, 7.8011, 7.8011 Å; angles 71.01, 71.01, 71.01 degrees
Sites, in units of the cell vectors:
Sm 0.4038 0.1699 0.6589
Sm 0.2020 0.2020 0.2020
Sm 0.6589 0.4038 0.1699
Sm 0.7980 0.7980 0.7980
Sm 0.1699 0.6589 0.4038
Sm 0.3411 0.5962 0.8301
Sm 0.0000 0.0000 0.0000
Sm 0.5962 0.8301 0.3411
Sm 0.8301 0.3411 0.5962
Au 0.5884 0.1670 0.9603
Au 0.0397 0.4116 0.8330
Au 0.8330 0.0397 0.4116
Au 0.1670 0.9603 0.5884
Au 0.4116 0.8330 0.0397
Au 0.9603 0.5884 0.1670

# 3
SmAu2 | GGA-PBE | optimized geometry

Energy of formation, eV per atom: -0.506
E_tot, eV per cell: -12.76

Cell lengths 4.8525, 4.8525, 4.8525 Å; angles 60.00, 60.00, 60.00 degrees
Sites, in units of the cell vectors:
Sm 0.0000 0.0000 0.0000
Au 0.2500 0.2500 0.2500
Au 0.7500 0.7500 0.7500

# 4
SmAu6 | GGA-PBE | optimized geometry

Energy of formation, eV per atom: -0.420
E_tot, eV per cell: -218.02

Cell lengths 10.4894, 10.4894, 9.8179 Å; angles 90.00, 90.00, 90.00 degrees
Sites, in units of the cell vectors:
Au 0.6995 0.1236 0.3558
Au 0.6995 0.3764 0.8558
Au 0.2500 0.2500 0.9335
Au 0.7500 0.7500 0.0665
Au 0.3005 0.6236 0.1442
Au 0.8188 0.0130 0.5792
Au 0.1236 0.8005 0.8558
Au 0.1812 0.9870 0.4208
Au 0.3532 0.3532 0.1782
Au 0.9870 0.1812 0.4208
Au 0.1468 0.1468 0.1782
Au 0.5000 0.0000 0.5000
Au 0.3532 0.1468 0.6782
Au 0.8532 0.6468 0.3218
Au 0.8188 0.4870 0.0792
Au 0.4870 0.8188 0.0792
Au 0.1995 0.6236 0.6442
Au 0.3764 0.6995 0.8558
Au 0.0130 0.8188 0.5792
Au 0.6468 0.6468 0.8218
Au 0.2500 0.2500 0.4335
Au 0.5130 0.3188 0.4208
Au 0.6812 0.0130 0.0792
Au 0.1812 0.5130 0.9208
Au 0.8532 0.8532 0.8218
Au 0.5130 0.1812 0.9208
Au 0.1468 0.3532 0.6782
Au 0.8005 0.3764 0.3558
Au 0.0000 0.0000 0.0000
Au 0.9870 0.3188 0.9208
Au 0.3764 0.8005 0.3558
Au 0.3188 0.9870 0.9208
Au 0.6812 0.4870 0.5792
Au 0.8764 0.3005 0.6442
Au 0.7500 0.7500 0.5665
Au 0.0000 0.5000 0.5000
Au 0.0130 0.6812 0.0792
Au 0.5000 0.5000 0.0000
Au 0.8005 0.1236 0.8558
Au 0.3188 0.5130 0.4208
Au 0.6236 0.1995 0.6442
Au 0.3005 0.8764 0.6442
Au 0.6236 0.3005 0.1442
Au 0.4870 0.6812 0.5792
Au 0.1236 0.6995 0.3558
Au 0.1995 0.8764 0.1442
Au 0.8764 0.1995 0.1442
Au 0.6468 0.8532 0.3218
Sm 0.0750 0.4250 0.2118
Sm 0.4250 0.4250 0.7118
Sm 0.0750 0.0750 0.7118
Sm 0.5750 0.5750 0.2882
Sm 0.9250 0.9250 0.2882
Sm 0.5750 0.9250 0.7882
Sm 0.9250 0.5750 0.7882
Sm 0.4250 0.0750 0.2118

# 5
SmAu2 | GGA-PBE | optimized geometry

Energy of formation, eV per atom: 0.618
E_tot, eV per cell: -18.78

Cell lengths 9.1168, 9.1168, 9.1168 Å; angles 60.00, 60.00, 60.00 degrees
Sites, in units of the cell vectors:
Au 0.3750 0.8750 0.3750
Au 0.3750 0.3750 0.8750
Au 0.3750 0.3750 0.3750
Au 0.8750 0.3750 0.3750
Sm 0.2500 0.2500 0.2500
Sm 0.5000 0.5000 0.5000

# 6
Sm2Au | GGA-PBE | optimized geometry

Energy of formation, eV per atom: 0.962
E_tot, eV per cell: -19.61

Cell lengths 9.0207, 9.0207, 9.0207 Å; angles 60.00, 60.00, 60.00 degrees
Sites, in units of the cell vectors:
Sm 0.3750 0.3750 0.3750
Sm 0.3750 0.3750 0.8750
Sm 0.8750 0.3750 0.3750
Sm 0.3750 0.8750 0.3750
Au 0.5000 0.5000 0.5000
Au 0.2500 0.2500 0.2500

# 7
Sm3Sn4Au4 | GGA-PBE | optimized geometry

E_tot, eV per cell: -50.81

Cell lengths 8.9018, 8.9018, 8.9018 Å; angles 149.78, 131.56, 58.16 degrees
Sites, in units of the cell vectors:
Sm 0.6295 0.6295 0.0000
Sm 0.3705 0.3705 0.0000
Sm 0.0000 0.5000 0.5000
Au 0.3705 0.1690 0.2015
Au 0.9676 0.1690 0.7985
Au 0.0324 0.8310 0.2015
Au 0.6295 0.8310 0.7985
Sn 0.6965 0.0000 0.6965
Sn 0.3035 0.0000 0.3035
Sn 0.2141 0.7141 0.5000
Sn 0.7859 0.2859 0.5000

# 8
SmSnAu | GGA-PBE | optimized geometry

E_tot, eV per cell: -14.57

Cell lengths 4.8247, 4.8247, 4.8247 Å; angles 120.00, 90.00, 120.00 degrees
Sites, in units of the cell vectors:
Au 0.7500 0.5000 0.2500
Sn 0.0000 0.0000 0.0000
Sm 0.5000 0.0000 0.5000

# 9
TbSm2Sn4Au4 | GGA-PBE | optimized geometry

E_tot, eV per cell: -50.55

Cell lengths 8.8871, 8.8871, 8.8871 Å; angles 149.71, 131.82, 57.98 degrees
Sites, in units of the cell vectors:
Sn 0.6990 0.5000 0.1990
Sn 0.3010 0.5000 0.8010
Sn 0.2128 0.2128 0.0000
Sn 0.7872 0.7872 0.0000
Au 0.3715 0.6692 0.7023
Au 0.0330 0.3308 0.7023
Au 0.9670 0.6692 0.2977
Au 0.6285 0.3308 0.2977
Sm 0.3710 0.8710 0.5000
Sm 0.6290 0.1290 0.5000
Tb 0.0000 0.0000 0.0000

# 10
SmSnTe3Au | GGA-PBE | optimized geometry

Energy above the most stable polymorph in this dataset, eV/atom: 0.023
E_tot, eV per cell: -101.35

Cell lengths 9.0923, 4.4000, 18.6422 Å; angles 90.00, 90.00, 90.00 degrees
Sites, in units of the cell vectors:
Te 0.1549 0.2500 0.2165
Te 0.8555 0.2500 0.0720
Te 0.6549 0.2500 0.2835
Te 0.1445 0.7500 0.9280
Te 0.3451 0.7500 0.7165
Te 0.4184 0.7500 0.1159
Te 0.0816 0.2500 0.6159
Te 0.3555 0.2500 0.4280
Te 0.6445 0.7500 0.5720
Te 0.8451 0.7500 0.7835
Te 0.5816 0.2500 0.8841
Te 0.9184 0.7500 0.3841
Sn 0.0776 0.2500 0.7846
Sn 0.4224 0.7500 0.2846
Sn 0.5776 0.2500 0.7154
Sn 0.9224 0.7500 0.2154
Au 0.5524 0.2500 0.0486
Au 0.9476 0.7500 0.5486
Au 0.0524 0.2500 0.4514
Au 0.4476 0.7500 0.9514
Sm 0.7030 0.2500 0.4529
Sm 0.7970 0.7500 0.9529
Sm 0.2030 0.2500 0.0471
Sm 0.2970 0.7500 0.5471

# 11
SmSnTe3Au | GGA-PBE | optimized geometry

Energy above the most stable polymorph in this dataset, eV/atom: 0.016
E_tot, eV per cell: -50.76

Cell lengths 8.3431, 4.3430, 10.7411 Å; angles 90.00, 106.63, 90.00 degrees
Sites, in units of the cell vectors:
Te 0.9659 0.7500 0.1680
Te 0.0341 0.2500 0.8320
Te 0.4151 0.7500 0.1312
Te 0.7095 0.2500 0.4715
Te 0.2905 0.7500 0.5285
Te 0.5849 0.2500 0.8688
Sn 0.7252 0.7500 0.7049
Sn 0.2748 0.2500 0.2951
Sm 0.2978 0.7500 0.8210
Sm 0.7022 0.2500 0.1790
Au 0.1026 0.2500 0.5950
Au 0.8974 0.7500 0.4050

# 12
SmSnTe3Au | GGA-PBE | optimized geometry

Energy above the most stable polymorph in this dataset, eV/atom: 0.013
E_tot, eV per cell: -101.58

Cell lengths 12.4717, 4.5229, 13.2009 Å; angles 90.00, 90.00, 90.00 degrees
Sites, in units of the cell vectors:
Te 0.4478 0.0000 0.0983
Te 0.6792 0.0000 0.3025
Te 0.9478 0.5000 0.4017
Te 0.8208 0.0000 0.8025
Te 0.3208 0.5000 0.6975
Te 0.0522 0.0000 0.5983
Te 0.6310 0.5000 0.5342
Te 0.1792 0.5000 0.1975
Te 0.3690 0.0000 0.4658
Te 0.8690 0.5000 0.0342
Te 0.1310 0.0000 0.9658
Te 0.5522 0.5000 0.9017
Sm 0.6949 0.0000 0.0238
Sm 0.1949 0.5000 0.4762
Sm 0.8051 0.0000 0.5238
Sm 0.3051 0.5000 0.9762
Sn 0.4190 0.5000 0.2621
Sn 0.9190 0.0000 0.2379
Sn 0.0810 0.5000 0.7621
Sn 0.5810 0.0000 0.7379
Au 0.7372 0.5000 0.1984
Au 0.2628 0.0000 0.8016
Au 0.2372 0.0000 0.3016
Au 0.7628 0.5000 0.6984

# 13
SmSnTe3Au | GGA-PBE | optimized geometry

Energy above the most stable polymorph in this dataset, eV/atom: 0.012
E_tot, eV per cell: -101.61

Cell lengths 14.6333, 4.3213, 11.7295 Å; angles 90.00, 90.00, 90.00 degrees
Sites, in units of the cell vectors:
Te 0.6136 0.2500 0.0549
Te 0.6518 0.7500 0.7471
Te 0.8482 0.2500 0.2471
Te 0.3864 0.7500 0.9451
Te 0.8738 0.2500 0.8874
Te 0.8864 0.7500 0.5549
Te 0.1136 0.2500 0.4451
Te 0.1262 0.7500 0.1126
Te 0.6262 0.7500 0.3874
Te 0.3482 0.2500 0.2529
Te 0.3738 0.2500 0.6126
Te 0.1518 0.7500 0.7529
Sn 0.7210 0.2500 0.5584
Sn 0.2210 0.2500 0.9416
Sn 0.2790 0.7500 0.4416
Sn 0.7790 0.7500 0.0584
Au 0.0055 0.7500 0.9064
Au 0.9945 0.2500 0.0936
Au 0.4945 0.2500 0.4064
Au 0.5055 0.7500 0.5936
Sm 0.4941 0.7500 0.1825
Sm 0.0059 0.2500 0.6825
Sm 0.9941 0.7500 0.3175
Sm 0.5059 0.2500 0.8175

# 14
SmSnTe3Au | GGA-PBE | optimized geometry

Energy above the most stable polymorph in this dataset, eV/atom: 0.000
E_tot, eV per cell: -101.89

Cell lengths 11.2458, 4.3148, 14.8175 Å; angles 90.00, 90.00, 90.00 degrees
Sites, in units of the cell vectors:
Te 0.0785 0.2500 0.9057
Te 0.9588 0.2500 0.6050
Te 0.5412 0.7500 0.1050
Te 0.7339 0.2500 0.3469
Te 0.5785 0.2500 0.5943
Te 0.4215 0.7500 0.4057
Te 0.9215 0.7500 0.0943
Te 0.2339 0.2500 0.1531
Te 0.0412 0.7500 0.3950
Te 0.2661 0.7500 0.6531
Te 0.4588 0.2500 0.8950
Te 0.7661 0.7500 0.8469
Sm 0.5202 0.7500 0.7432
Sm 0.9798 0.2500 0.2432
Sm 0.4798 0.2500 0.2568
Sm 0.0202 0.7500 0.7568
Sn 0.2199 0.2500 0.4791
Sn 0.2801 0.7500 0.9791
Sn 0.7801 0.7500 0.5209
Sn 0.7199 0.2500 0.0209
Au 0.7440 0.7500 0.2227
Au 0.2440 0.7500 0.2773
Au 0.7560 0.2500 0.7227
Au 0.2560 0.2500 0.7773

# 15
SmSnTe3Au | GGA-PBE | optimized geometry

Energy above the most stable polymorph in this dataset, eV/atom: 0.033
E_tot, eV per cell: -101.10

Cell lengths 12.6815, 4.4350, 12.6629 Å; angles 90.00, 90.00, 90.00 degrees
Sites, in units of the cell vectors:
Au 0.2275 0.7500 0.2933
Au 0.7275 0.7500 0.2067
Au 0.7725 0.2500 0.7067
Au 0.2725 0.2500 0.7933
Sn 0.7080 0.2500 0.0400
Sn 0.7920 0.7500 0.5400
Sn 0.2920 0.7500 0.9600
Sn 0.2080 0.2500 0.4600
Te 0.0941 0.2500 0.9390
Te 0.5262 0.7500 0.1275
Te 0.4738 0.2500 0.8724
Te 0.0262 0.7500 0.3724
Te 0.5941 0.2500 0.5610
Te 0.2087 0.7500 0.6753
Te 0.4059 0.7500 0.4390
Te 0.7087 0.7500 0.8247
Te 0.7913 0.2500 0.3247
Te 0.2913 0.2500 0.1753
Te 0.9738 0.2500 0.6275
Te 0.9059 0.7500 0.0610
Sm 0.5370 0.2500 0.3048
Sm 0.0370 0.2500 0.1952
Sm 0.4630 0.7500 0.6952
Sm 0.9630 0.7500 0.8048

# 16
SmSnTe3Au | GGA-PBE | optimized geometry

Energy above the most stable polymorph in this dataset, eV/atom: 0.001
E_tot, eV per cell: -50.93

Cell lengths 4.2969, 7.7460, 11.2460 Å; angles 90.00, 90.00, 73.90 degrees
Sites, in units of the cell vectors:
Au 0.4719 0.0561 0.7500
Au 0.5281 0.9439 0.2500
Sn 0.2252 0.5495 0.2500
Sn 0.7748 0.4505 0.7500
Te 0.6501 0.6997 0.4404
Te 0.6501 0.6997 0.0596
Te 0.0969 0.8063 0.7500
Te 0.3499 0.3003 0.9404
Te 0.3499 0.3003 0.5596
Te 0.9032 0.1937 0.2500
Sm 0.0000 0.0000 0.0000
Sm 0.0000 0.0000 0.5000

# 17
SmSnTe3Au | GGA-PBE | optimized geometry

Energy above the most stable polymorph in this dataset, eV/atom: 0.036
E_tot, eV per cell: -50.51

Cell lengths 10.3228, 10.3228, 8.7770 Å; angles 101.33, 101.33, 24.04 degrees
Sites, in units of the cell vectors:
Au 0.5541 0.5541 0.7145
Au 0.4459 0.4459 0.2855
Sn 0.1200 0.1200 0.0725
Sn 0.8800 0.8800 0.9275
Te 0.3129 0.3129 0.1423
Te 0.0000 0.0000 0.5000
Te 0.5000 0.5000 0.0000
Te 0.6871 0.6871 0.8577
Te 0.3225 0.3225 0.6574
Te 0.6775 0.6775 0.3426
Sm 0.1594 0.1594 0.5905
Sm 0.8406 0.8406 0.4095